# 1
The following is a DFT calculation (PBE) of a geometry-optimized NaW structure.

The crystal system is hexagonal. Its total magnetic moment is 1.87 μB per cell. Its energy above the most stable polymorph in this dataset is 2.990 eV/f.u.

The space group is P6_3/mmc (No. 194) and the conventional cell measures 4.3635, 4.3635 and 5.1717 Å, with angles of 90.00, 90.00 and 120.00 degrees. The inequivalent atoms are Na at (0.3333, 0.6667, 0.2500) and W at (0.0000, 0.0000, 0.0000).

# 2
The following is a DFT calculation (PBE) of a geometry-optimized NaW structure.

The crystal system is cubic. Its total magnetic moment is 20.04 μB per cell. Its energy above the most stable polymorph in this dataset is 5.067 eV/f.u.

The space group is F-43m (No. 216) and the conventional cell measures 7.070, 7.070 and 7.070 Å, with angles of 90.00, 90.00 and 90.00 degrees. The inequivalent atoms are Na at (0.000, 0.000, 0.000) and W at (0.250, 0.250, 0.750).

# 3
The following is a DFT calculation (PBE) of a geometry-optimized NaYW structure.

The crystal system is cubic. Its total magnetic moment is 2.49 μB per cell. Its energy above the most stable polymorph in this dataset is 0.063 eV/f.u.

The space group is F-43m (No. 216) and the conventional cell measures 6.674, 6.674 and 6.674 Å, with angles of 90.00, 90.00 and 90.00 degrees. The inequivalent atoms are Na at (0.000, 0.000, 0.000), Y at (0.250, 0.250, 0.250) and W at (0.250, 0.250, 0.750).

# 4
The following is a DFT calculation (PBE) of a geometry-optimized NaYW structure.

The crystal system is cubic. Its total magnetic moment is 13.91 μB per cell. Its energy above the most stable polymorph in this dataset is 0.000 eV/f.u.

The space group is F-43m (No. 216) and the conventional cell measures 6.990, 6.990 and 6.990 Å, with angles of 90.00, 90.00 and 90.00 degrees. The inequivalent atoms are Na at (0.000, 0.000, 0.000), Y at (0.250, 0.250, 0.750) and W at (0.000, 0.000, 0.500).

# 5
The following is a DFT calculation (PBE) of a geometry-optimized NaZrW structure.

The crystal system is cubic. The value obtained for the total energy is -5.65 eV/atom. Its total magnetic moment is 0.07 μB per cell.

The space group is F-43m (No. 216) and the conventional cell measures 6.364, 6.364 and 6.364 Å, with angles of 90.00, 90.00 and 90.00 degrees. The inequivalent atoms are Na at (0.000, 0.000, 0.000), Zr at (0.250, 0.250, 0.250) and W at (0.250, 0.250, 0.750).

# 6
The following is a DFT calculation (PBE) of a geometry-optimized NaY2Zn structure.

The crystal system is cubic. The value obtained for the total energy is -3.58 eV/atom. Its total magnetic moment is 0.62 μB per cell.

The space group is F-43m (No. 216) and the conventional cell measures 7.528, 7.528 and 7.528 Å, with angles of 90.00, 90.00 and 90.00 degrees. The inequivalent atoms are Na at (0.000, 0.000, 0.000), Y at (0.000, 0.000, 0.500), Y at (0.250, 0.250, 0.250) and Zn at (0.250, 0.250, 0.750).

Question: total magnetic moment of number 3 (NaYW)?
Answer: 2.49 μB per cell